DFT (PBE) results for a relaxed TbGdFe2Si4 crystal.

Output
Calculated total energy = -6.560 eV/atom
Density = 6.75 g cm⁻³

a b c (Å): 3.978 4.067 16.431
angles (deg): 90.00 90.00 90.00
Space group Amm2 (No. 38)
One atom of each set of equivalent atoms:
Tb 0.000 0.000 0.000
Gd 0.500 0.000 0.784
Fe 0.000 0.000 0.213
Fe 0.500 0.000 0.571
Si 0.000 0.000 0.349
Si 0.000 0.000 0.642
Si 0.500 0.000 0.141
Si 0.500 0.000 0.435

---

DFT (PBE) results for a relaxed SmGdFe crystal.

Output
ΔE_f = 0.24 eV per atom
Distance to the lowest polymorph of the same formula = 0 kJ/mol of formula units
Density = 8.12 g cm⁻³

a b c (Å): 6.675 6.675 6.675
angles (deg): 90.00 90.00 90.00
Space group F-43m (No. 216)
One atom of each set of equivalent atoms:
Sm 0.000 0.000 0.000
Gd 0.000 0.000 0.500
Fe 0.250 0.250 0.750

---

DFT (PBE) results for a relaxed SmGdFe2Sn crystal.

Output
Calculated total energy = -6.251 eV/atom
Density = 8.36 g cm⁻³

a b c (Å): 3.890 3.910 14.054
angles (deg): 90.00 90.00 90.00
Space group Amm2 (No. 38)
One atom of each set of equivalent atoms:
Sm 0.000 0.000 0.000
Gd 0.000 0.000 0.268
Fe 0.500 0.000 0.429
Fe 0.500 0.000 0.837
Sn 0.500 0.000 0.635

---

DFT (PBE) results for a relaxed SmGdTlFe2 crystal.

Output
Calculated total energy = -5.789 eV/atom
Density = 9.63 g cm⁻³

a b c (Å): 4.040 3.813 13.957
angles (deg): 90.00 90.00 90.00
Space group Amm2 (No. 38)
One atom of each set of equivalent atoms:
Sm 0.000 0.000 0.000
Gd 0.000 0.000 0.724
Tl 0.500 0.000 0.361
Fe 0.500 0.000 0.153
Fe 0.500 0.000 0.574

---

DFT (PBE) results for a relaxed Gd2FeSn6 crystal.

Output
Calculated total energy = -5.004 eV/atom
Density = 7.97 g cm⁻³

a b c (Å): 4.381 23.060 4.465
angles (deg): 90.00 90.00 90.00
Space group Cmmm (No. 65)
One atom of each set of equivalent atoms:
Gd 0.000 0.177 0.000
Fe 0.000 0.500 0.500
Sn 0.000 0.070 0.500
Sn 0.000 0.294 0.500
Sn 0.000 0.431 0.000

---

DFT (PBE) results for a relaxed TbGdFe4 crystal.

Output
ΔE_f = -0.04 eV per atom
Density = 9.35 g cm⁻³

a b c (Å): 7.264 7.264 7.264
angles (deg): 90.00 90.00 90.00
Space group F-43m (No. 216)
One atom of each set of equivalent atoms:
Tb 0.000 0.000 0.000
Gd 0.250 0.250 0.750
Fe 0.125 0.125 0.375

---

DFT (PBE) results for a relaxed GdFeTc crystal.

Output
ΔE_f = 0.54 eV per atom
Density = 9.04 g cm⁻³

a b c (Å): 6.115 6.115 6.115
angles (deg): 90.00 90.00 90.00
Space group F-43m (No. 216)
One atom of each set of equivalent atoms:
Gd 0.000 0.000 0.000
Fe 0.250 0.250 0.250
Tc 0.000 0.000 0.500

---

DFT (PBE) results for a relaxed GdTlFeTe3 crystal.

Output
Distance to the lowest polymorph of the same formula = 46 kJ/mol of formula units
Density = 7.28 g cm⁻³

a b c (Å): 12.326 4.513 13.118
angles (deg): 90.00 90.00 90.00
Space group Pnma (No. 62)
One atom of each set of equivalent atoms:
Gd 0.021 0.250 0.184
Tl 0.185 0.250 0.494
Fe 0.246 0.750 0.299
Te 0.040 0.750 0.348
Te 0.101 0.250 0.941
Te 0.220 0.750 0.697